{"formula": "Li2Ag2O5", "functional": "PBE", "state": "relaxed", "lattice": [[7.701, 0.000, 0.000], [0.000, 3.839, 0.000], [0.000, 0.000, 3.839]], "species": ["O", "O", "O", "O", "O", "Li", "Li", "Ag", "Ag"], "frac_coords": [[0.834, 0.500, 0.000], [0.500, 0.500, 0.500], [0.166, 0.500, 0.000], [0.166, 0.000, 0.500], [0.834, 0.000, 0.500], [0.500, 0.000, 0.000], [0.000, 0.000, 0.000], [0.769, 0.500, 0.500], [0.231, 0.500, 0.500]], "e_above_lowest_polymorph_kcal_per_mol_atoms": 1.63}

***

{"formula": "ScFe6Ge4", "functional": "PBE", "state": "relaxed", "lattice": [[2.521, 1.455, 6.665], [-2.521, 1.455, 6.665], [0.000, -2.911, 6.665]], "species": ["Ge", "Ge", "Ge", "Ge", "Fe", "Fe", "Fe", "Fe", "Fe", "Fe", "Sc"], "frac_coords": [[0.333, 0.333, 0.333], [0.868, 0.868, 0.868], [0.667, 0.667, 0.667], [0.132, 0.132, 0.132], [0.401, 0.891, 0.401], [0.891, 0.401, 0.401], [0.599, 0.599, 0.109], [0.109, 0.599, 0.599], [0.599, 0.109, 0.599], [0.401, 0.401, 0.891], [0.000, 0.000, 0.000]]}

***

{"formula": "Pr3Pd2", "functional": "PBE", "state": "relaxed", "lattice": [[8.082, 0.000, 0.000], [0.000, 8.082, 0.000], [0.000, 0.000, 4.073]], "species": ["Pd", "Pd", "Pd", "Pd", "Pr", "Pr", "Pr", "Pr", "Pr", "Pr"], "frac_coords": [[0.874, 0.374, 0.000], [0.626, 0.874, 0.000], [0.374, 0.126, 0.000], [0.126, 0.626, 0.000], [0.832, 0.668, 0.500], [0.668, 0.168, 0.500], [0.000, 0.000, 0.000], [0.168, 0.332, 0.500], [0.332, 0.832, 0.500], [0.500, 0.500, 0.000]]}

***

{"formula": "Zr4Ta2Tl3C3", "functional": "PBE", "state": "relaxed", "lattice": [[4.993, -2.884, 0.000], [4.993, 2.884, 0.000], [-3.359, 0.000, 14.802]], "species": ["Ta", "Ta", "Ta", "Ta", "Tl", "Tl", "Tl", "Tl", "Tl", "Tl", "C", "C", "C", "C", "C", "C", "Zr", "Zr", "Zr", "Zr", "Zr", "Zr", "Zr", "Zr"], "frac_coords": [[0.475, 0.648, 0.425], [0.525, 0.352, 0.575], [0.648, 0.475, 0.925], [0.352, 0.525, 0.075], [0.265, 0.418, 0.752], [0.100, 0.900, 0.250], [0.418, 0.265, 0.252], [0.735, 0.582, 0.248], [0.582, 0.735, 0.748], [0.900, 0.100, 0.750], [0.339, 0.821, 0.000], [0.821, 0.339, 0.500], [0.500, 0.000, 0.500], [0.179, 0.661, 0.500], [0.661, 0.179, 0.000], [0.000, 0.500, 0.000], [0.810, 0.965, 0.415], [0.305, 0.132, 0.915], [0.695, 0.868, 0.085], [0.132, 0.305, 0.415], [0.190, 0.035, 0.585], [0.035, 0.190, 0.085], [0.868, 0.695, 0.585], [0.965, 0.810, 0.915]]}

***

{"formula": "ScTlCoOs", "functional": "PBE", "state": "relaxed", "lattice": [[0.000, 3.216, 3.216], [3.216, 0.000, 3.216], [3.216, 3.216, 0.000]], "species": ["Tl", "Co", "Os", "Sc"], "frac_coords": [[0.000, 0.000, 0.000], [0.750, 0.750, 0.750], [0.250, 0.250, 0.250], [0.500, 0.500, 0.500]], "e_above_lowest_polymorph_kcal_per_mol_atoms": 0.00}

***

{"formula": "HfS", "functional": "PBE", "state": "relaxed", "lattice": [[1.256, -3.021, 2.317], [-2.490, -1.641, 2.680], [-1.421, -3.702, -0.588]], "species": ["Hf", "S"], "frac_coords": [[0.000, 0.000, 0.000], [0.250, 0.250, 0.250]]}

***

{"formula": "GaOsPt", "functional": "PBE", "state": "relaxed", "lattice": [[0.000, 2.990, 2.990], [2.990, 0.000, 2.990], [2.990, 2.990, 0.000]], "species": ["Ga", "Os", "Pt"], "frac_coords": [[0.250, 0.250, 0.250], [0.000, 0.000, 0.000], [0.750, 0.750, 0.750]], "e_above_lowest_polymorph_kcal_per_mol_atoms": 0.00}

***

{"formula": "YRe2O3", "functional": "PBE", "state": "relaxed", "lattice": [[5.023, 0.000, 0.000], [-2.511, 4.350, 0.000], [0.000, 0.000, 3.337]], "species": ["O", "O", "O", "Y", "Re", "Re"], "frac_coords": [[0.500, 0.000, 0.000], [0.500, 0.500, 0.000], [0.000, 0.500, 0.000], [0.000, 0.000, 0.500], [0.667, 0.333, 0.508], [0.333, 0.667, 0.492]]}

***

One value per record, in order, for total energy: -35.91, -77.54, -55.53, -197.84, -26.07, -15.59, -19.29, -47.38 eV per cell.
One value per record, in order, for volume: 114, 147, 266, 426, 67, 46, 53, 73 Å³ per cell.